Here is a geometry-optimized Li2Ni3SbO6 structure from Alexandria via LeMat-Bulk. Energies are from PBE with a Hubbard U.

Unit cell a=5.251 b=5.251 c=5.259 alpha=99.57 beta=99.57 gamma=119.93
Positions (direct):
1 Li 0.165 0.835 0.000
2 Li 0.835 0.165 0.000
3 Ni 0.000 0.000 0.500
4 Ni 0.329 0.671 0.500
5 Ni 0.671 0.329 0.500
6 Sb 0.500 0.500 0.000
7 O 0.088 0.414 0.740
8 O 0.260 0.260 0.255
9 O 0.414 0.088 0.740
10 O 0.586 0.912 0.260
11 O 0.740 0.740 0.745
12 O 0.912 0.586 0.260

Output
density of states at the Fermi level: 1.8 states/eV/cell
electronic total energy: -5.142 eV per atom
ρ: 5.7 g cm⁻³
crystal system: monoclinic